No. 1
A relaxed Cs4SnSe5 crystal, computed with PBE.

Cell and atoms, written as POSCAR:
```
Cs4SnSe5
1.0
-2.922 -4.072 5.482
4.528 -6.986 2.256
2.458 2.193 7.971
Cs Sn Se
4 1 5
Cartesian
2.387 -2.644 9.390
2.729 -7.341 11.114
1.326 -1.538 4.614
1.668 -6.236 6.338
-0.273 -0.380 0.512
0.708 -3.929 12.489
4.964 -5.251 8.743
-0.861 -3.561 6.894
3.395 -4.883 3.148
-1.274 -1.776 2.391
```

## Properties
As for the energy relative to the elements, uncorrected: -0.74 eV/atom.


No. 2
A relaxed CsSn3Se crystal, computed with PBE.

Cell and atoms, written as POSCAR:
```
CsSn3Se
1.0
6.232 0.000 0.000
0.000 6.232 0.000
0.000 0.000 6.232
Cs Sn Se
1 3 1
Cartesian
0.000 0.000 0.000
0.000 3.116 0.000
0.000 0.000 3.116
3.116 0.000 0.000
3.116 3.116 3.116
```

## Properties
As for the energy relative to the elements, uncorrected: 1.53 eV/atom.


No. 3
A relaxed CsSn3Se crystal, computed with PBE.

Cell and atoms, written as POSCAR:
```
CsSn3Se
1.0
5.777 0.000 0.000
0.000 5.777 0.000
0.000 0.000 5.777
Cs Sn Se
1 3 1
Cartesian
2.889 2.889 2.889
0.000 2.889 0.000
0.000 0.000 2.889
2.889 0.000 0.000
0.000 0.000 0.000
```

## Properties
As for the energy relative to the elements, uncorrected: 0.14 eV/atom.


No. 4
A relaxed Cs2SnSe2 crystal, computed with PBE.

Cell and atoms, written as POSCAR:
```
Cs2SnSe2
1.0
-7.476 -1.931 -2.350
-5.812 -1.083 6.282
-6.584 5.637 1.693
Cs Sn Se
4 2 4
Cartesian
-4.539 -0.768 0.963
-15.333 3.391 4.663
-11.644 2.704 6.853
-8.228 -0.081 -1.227
-8.314 2.120 3.918
-11.558 0.504 1.708
-6.397 0.246 3.894
-13.475 2.378 1.731
-10.884 0.268 4.291
-8.988 2.356 1.335
```

## Properties
As for the energy relative to the elements, uncorrected: -0.89 eV/atom.


No. 5
A relaxed Cs3SnSe4 crystal, computed with PBE.

Cell and atoms, written as POSCAR:
```
Cs3SnSe4
1.0
1.821 -4.095 4.460
-2.356 -8.261 -2.148
5.072 -6.383 -3.457
Cs Sn Se
3 1 4
Cartesian
-0.054 -4.577 0.295
-1.215 -7.973 -2.349
2.284 -14.746 -1.034
2.091 -9.415 -0.541
0.644 -8.207 1.159
0.906 -11.288 -1.778
3.366 -7.820 -2.099
4.383 -10.107 0.388
```

## Properties
As for the energy relative to the elements, uncorrected: -0.89 eV/atom.


No. 6
A relaxed CsSn6Se8 crystal, computed with PBE.

Cell and atoms, written as POSCAR:
```
CsSn6Se8
1.0
-3.214 -6.457 -3.789
4.655 -5.281 4.102
-5.625 -1.149 5.781
Cs Sn Se
1 6 8
Cartesian
0.000 0.000 0.000
-4.685 -7.040 4.057
-0.952 -7.633 5.367
-2.045 -8.982 1.763
0.500 -5.847 2.038
-3.233 -5.254 0.728
-2.140 -3.905 4.331
-2.986 -9.195 4.349
-1.199 -3.692 1.746
0.602 -8.769 2.942
-4.858 -7.793 1.256
-3.048 -5.930 6.438
-4.787 -4.118 3.152
0.673 -5.094 4.838
-1.137 -6.957 -0.344
```

## Properties
As for the energy relative to the elements, uncorrected: -0.41 eV/atom.